--- A ---
# YSbTeI2, relaxed, DFT PBE
# Total magnetization   0.42 μB/f.u.
# Volume   42.48 Å³/atom
data_YSbTeI2
_chemical_formula_sum 'Y1 Sb1 Te1 I2'
_symmetry_space_group_name_H-M 'P 4/m m m'
_symmetry_Int_Tables_number 123
_symmetry_space_group_name_Hall '-P 4 2'
_cell_length_a 5.758
_cell_length_b 5.758
_cell_length_c 6.406
_cell_angle_alpha 90.00
_cell_angle_beta 90.00
_cell_angle_gamma 90.00
loop_
_atom_site_label
_atom_site_type_symbol
_atom_site_fract_x
_atom_site_fract_y
_atom_site_fract_z
Y1 Y 0.000 0.000 0.000
Sb1 Sb 0.000 0.000 0.500
Te1 Te 0.500 0.500 0.500
I1 I 0.000 0.500 0.000

--- B ---
# YSbTeI2, relaxed, DFT PBE
# Total magnetization   0.85 μB/f.u.
# Volume   40.76 Å³/atom
data_YSbTeI2
_chemical_formula_sum 'Y1 Sb1 Te1 I2'
_symmetry_space_group_name_H-M 'P 4/m m m'
_symmetry_Int_Tables_number 123
_symmetry_space_group_name_Hall '-P 4 2'
_cell_length_a 5.822
_cell_length_b 5.822
_cell_length_c 6.013
_cell_angle_alpha 90.00
_cell_angle_beta 90.00
_cell_angle_gamma 90.00
loop_
_atom_site_label
_atom_site_type_symbol
_atom_site_fract_x
_atom_site_fract_y
_atom_site_fract_z
Y1 Y 0.000 0.000 0.000
Sb1 Sb 0.500 0.500 0.500
Te1 Te 0.500 0.500 0.000
I1 I 0.000 0.500 0.500

Stability check: which of them is most stable? A.

--- A ---
# ZnSbTeI2, relaxed, DFT PBE
# Total magnetization   1.72 μB/f.u.
# Volume   45.41 Å³/atom
data_ZnSbTeI2
_chemical_formula_sum 'Zn1 Sb1 Te1 I2'
_symmetry_space_group_name_H-M 'P 4/m m m'
_symmetry_Int_Tables_number 123
_symmetry_space_group_name_Hall '-P 4 2'
_cell_length_a 6.104
_cell_length_b 6.104
_cell_length_c 6.093
_cell_angle_alpha 90.00
_cell_angle_beta 90.00
_cell_angle_gamma 90.00
loop_
_atom_site_label
_atom_site_type_symbol
_atom_site_fract_x
_atom_site_fract_y
_atom_site_fract_z
Zn1 Zn 0.000 0.000 0.000
Sb1 Sb 0.500 0.500 0.000
Te1 Te 0.500 0.500 0.500
I1 I 0.000 0.500 0.500

--- B ---
# ZnSbTeI2, relaxed, DFT PBE
# Total magnetization   0.00 μB/f.u.
# Volume   32.39 Å³/atom
data_ZnSbTeI2
_chemical_formula_sum 'Zn1 Sb1 Te1 I2'
_symmetry_space_group_name_H-M 'P 4/m m m'
_symmetry_Int_Tables_number 123
_symmetry_space_group_name_Hall '-P 4 2'
_cell_length_a 5.367
_cell_length_b 5.367
_cell_length_c 5.622
_cell_angle_alpha 90.00
_cell_angle_beta 90.00
_cell_angle_gamma 90.00
loop_
_atom_site_label
_atom_site_type_symbol
_atom_site_fract_x
_atom_site_fract_y
_atom_site_fract_z
Zn1 Zn 0.000 0.000 0.000
Sb1 Sb 0.500 0.500 0.500
Te1 Te 0.000 0.000 0.500
I1 I 0.000 0.500 0.000

--- C ---
# ZnSbTeI2, relaxed, DFT PBE
# Total magnetization   0.00 μB/f.u.
# Volume   42.20 Å³/atom
data_ZnSbTeI2
_chemical_formula_sum 'Zn1 Sb1 Te1 I2'
_symmetry_space_group_name_H-M 'P 4/m m m'
_symmetry_Int_Tables_number 123
_symmetry_space_group_name_Hall '-P 4 2'
_cell_length_a 6.035
_cell_length_b 6.035
_cell_length_c 5.792
_cell_angle_alpha 90.00
_cell_angle_beta 90.00
_cell_angle_gamma 90.00
loop_
_atom_site_label
_atom_site_type_symbol
_atom_site_fract_x
_atom_site_fract_y
_atom_site_fract_z
Zn1 Zn 0.000 0.000 0.000
Sb1 Sb 0.500 0.500 0.500
Te1 Te 0.500 0.500 0.000
I1 I 0.000 0.500 0.500

--- D ---
# ZnSbTeI2, relaxed, DFT PBE
# Total magnetization   0.00 μB/f.u.
# Volume   32.34 Å³/atom
data_ZnSbTeI2
_chemical_formula_sum 'Zn1 Sb1 Te1 I2'
_symmetry_space_group_name_H-M 'P 4/m m m'
_symmetry_Int_Tables_number 123
_symmetry_space_group_name_Hall '-P 4 2'
_cell_length_a 5.347
_cell_length_b 5.347
_cell_length_c 5.656
_cell_angle_alpha 90.00
_cell_angle_beta 90.00
_cell_angle_gamma 90.00
loop_
_atom_site_label
_atom_site_type_symbol
_atom_site_fract_x
_atom_site_fract_y
_atom_site_fract_z
Zn1 Zn 0.000 0.000 0.000
Sb1 Sb 0.000 0.000 0.500
Te1 Te 0.500 0.500 0.500
I1 I 0.000 0.500 0.000

Stability check: which of them is most stable? C.

--- A ---
# ZnSbTe2I, relaxed, DFT PBE
# Total magnetization   0.00 μB/f.u.
# Volume   31.05 Å³/atom
data_ZnSbTe2I
_chemical_formula_sum 'Zn1 Sb1 Te2 I1'
_symmetry_space_group_name_H-M 'P 4/m m m'
_symmetry_Int_Tables_number 123
_symmetry_space_group_name_Hall '-P 4 2'
_cell_length_a 5.292
_cell_length_b 5.292
_cell_length_c 5.544
_cell_angle_alpha 90.00
_cell_angle_beta 90.00
_cell_angle_gamma 90.00
loop_
_atom_site_label
_atom_site_type_symbol
_atom_site_fract_x
_atom_site_fract_y
_atom_site_fract_z
Zn1 Zn 0.000 0.000 0.000
Sb1 Sb 0.000 0.000 0.500
Te1 Te 0.000 0.500 0.000
I1 I 0.500 0.500 0.500

--- B ---
# ZnSbTe2I, relaxed, DFT PBE
# Total magnetization   0.00 μB/f.u.
# Volume   40.04 Å³/atom
data_ZnSbTe2I
_chemical_formula_sum 'Zn1 Sb1 Te2 I1'
_symmetry_space_group_name_H-M 'P 4/m m m'
_symmetry_Int_Tables_number 123
_symmetry_space_group_name_Hall '-P 4 2'
_cell_length_a 5.778
_cell_length_b 5.778
_cell_length_c 5.997
_cell_angle_alpha 90.00
_cell_angle_beta 90.00
_cell_angle_gamma 90.00
loop_
_atom_site_label
_atom_site_type_symbol
_atom_site_fract_x
_atom_site_fract_y
_atom_site_fract_z
Zn1 Zn 0.000 0.000 0.000
Sb1 Sb 0.500 0.500 0.500
Te1 Te 0.000 0.500 0.500
I1 I 0.500 0.500 0.000

Stability check: which of them is most stable? A.

--- A ---
# ZnSbTe2I, relaxed, DFT PBE
# Total magnetization   0.00 μB/f.u.
# Volume   30.85 Å³/atom
data_ZnSbTe2I
_chemical_formula_sum 'Zn1 Sb1 Te2 I1'
_symmetry_space_group_name_H-M 'P 4/m m m'
_symmetry_Int_Tables_number 123
_symmetry_space_group_name_Hall '-P 4 2'
_cell_length_a 5.361
_cell_length_b 5.361
_cell_length_c 5.365
_cell_angle_alpha 90.00
_cell_angle_beta 90.00
_cell_angle_gamma 90.00
loop_
_atom_site_label
_atom_site_type_symbol
_atom_site_fract_x
_atom_site_fract_y
_atom_site_fract_z
Zn1 Zn 0.000 0.000 0.000
Sb1 Sb 0.500 0.500 0.500
Te1 Te 0.000 0.500 0.000
I1 I 0.000 0.000 0.500

--- B ---
# ZnSbTe2I, relaxed, DFT PBE
# Total magnetization   1.08 μB/f.u.
# Volume   41.05 Å³/atom
data_ZnSbTe2I
_chemical_formula_sum 'Zn1 Sb1 Te2 I1'
_symmetry_space_group_name_H-M 'P 4/m m m'
_symmetry_Int_Tables_number 123
_symmetry_space_group_name_Hall '-P 4 2'
_cell_length_a 5.860
_cell_length_b 5.860
_cell_length_c 5.977
_cell_angle_alpha 90.00
_cell_angle_beta 90.00
_cell_angle_gamma 90.00
loop_
_atom_site_label
_atom_site_type_symbol
_atom_site_fract_x
_atom_site_fract_y
_atom_site_fract_z
Zn1 Zn 0.000 0.000 0.000
Sb1 Sb 0.500 0.500 0.000
Te1 Te 0.000 0.500 0.500
I1 I 0.500 0.500 0.500

Stability check: which of them is most stable? A.

--- A ---
# ZrSbTe2I, relaxed, DFT PBE
# Total magnetization   1.87 μB/f.u.
# Volume   37.70 Å³/atom
data_ZrSbTe2I
_chemical_formula_sum 'Zr1 Sb1 Te2 I1'
_symmetry_space_group_name_H-M 'P 4/m m m'
_symmetry_Int_Tables_number 123
_symmetry_space_group_name_Hall '-P 4 2'
_cell_length_a 5.751
_cell_length_b 5.751
_cell_length_c 5.698
_cell_angle_alpha 90.00
_cell_angle_beta 90.00
_cell_angle_gamma 90.00
loop_
_atom_site_label
_atom_site_type_symbol
_atom_site_fract_x
_atom_site_fract_y
_atom_site_fract_z
Zr1 Zr 0.000 0.000 0.000
Sb1 Sb 0.500 0.500 0.500
Te1 Te 0.000 0.500 0.500
I1 I 0.500 0.500 0.000

--- B ---
# ZrSbTe2I, relaxed, DFT PBE
# Total magnetization   0.08 μB/f.u.
# Volume   36.53 Å³/atom
data_ZrSbTe2I
_chemical_formula_sum 'Zr1 Sb1 Te2 I1'
_symmetry_space_group_name_H-M 'P 4/m m m'
_symmetry_Int_Tables_number 123
_symmetry_space_group_name_Hall '-P 4 2'
_cell_length_a 5.676
_cell_length_b 5.676
_cell_length_c 5.669
_cell_angle_alpha 90.00
_cell_angle_beta 90.00
_cell_angle_gamma 90.00
loop_
_atom_site_label
_atom_site_type_symbol
_atom_site_fract_x
_atom_site_fract_y
_atom_site_fract_z
Zr1 Zr 0.000 0.000 0.000
Sb1 Sb 0.500 0.500 0.000
Te1 Te 0.000 0.500 0.500
I1 I 0.500 0.500 0.500

--- C ---
# ZrSbTe2I, relaxed, DFT PBE
# Total magnetization   0.00 μB/f.u.
# Volume   35.46 Å³/atom
data_ZrSbTe2I
_chemical_formula_sum 'Zr1 Sb1 Te2 I1'
_symmetry_space_group_name_H-M 'P 4/m m m'
_symmetry_Int_Tables_number 123
_symmetry_space_group_name_Hall '-P 4 2'
_cell_length_a 5.518
_cell_length_b 5.518
_cell_length_c 5.823
_cell_angle_alpha 90.00
_cell_angle_beta 90.00
_cell_angle_gamma 90.00
loop_
_atom_site_label
_atom_site_type_symbol
_atom_site_fract_x
_atom_site_fract_y
_atom_site_fract_z
Zr1 Zr 0.000 0.000 0.000
Sb1 Sb 0.000 0.000 0.500
Te1 Te 0.000 0.500 0.000
I1 I 0.500 0.500 0.500

Stability check: which of them is most stable? C.

--- A ---
# TiSb3I, relaxed, DFT PBE
# Total magnetization   0.00 μB/f.u.
# Volume   30.00 Å³/atom
data_TiSb3I
_chemical_formula_sum 'Ti1 Sb3 I1'
_symmetry_space_group_name_H-M 'P m -3 m'
_symmetry_Int_Tables_number 221
_symmetry_space_group_name_Hall '-P 4 2 3'
_cell_length_a 5.313
_cell_length_b 5.313
_cell_length_c 5.313
_cell_angle_alpha 90.00
_cell_angle_beta 90.00
_cell_angle_gamma 90.00
loop_
_atom_site_label
_atom_site_type_symbol
_atom_site_fract_x
_atom_site_fract_y
_atom_site_fract_z
Ti1 Ti 0.000 0.000 0.000
Sb1 Sb 0.000 0.000 0.500
I1 I 0.500 0.500 0.500

--- B ---
# TiSb3I, relaxed, DFT PBE
# Total magnetization   0.16 μB/f.u.
# Volume   36.11 Å³/atom
data_TiSb3I
_chemical_formula_sum 'Ti1 Sb3 I1'
_symmetry_space_group_name_H-M 'P m -3 m'
_symmetry_Int_Tables_number 221
_symmetry_space_group_name_Hall '-P 4 2 3'
_cell_length_a 5.652
_cell_length_b 5.652
_cell_length_c 5.652
_cell_angle_alpha 90.00
_cell_angle_beta 90.00
_cell_angle_gamma 90.00
loop_
_atom_site_label
_atom_site_type_symbol
_atom_site_fract_x
_atom_site_fract_y
_atom_site_fract_z
Ti1 Ti 0.000 0.000 0.000
Sb1 Sb 0.000 0.500 0.500
I1 I 0.500 0.500 0.500

Stability check: which of them is most stable? A.